Material: Cr2CdTc
Method: DFT, PBEsol
State: optimized geometry

## Properties
space-group type: No. 65
energy of formation: 0.409 eV per atom
spin magnetization: 0.00 μB/f.u.
D(E_F): 3.99 states/eV per cell
final energy: -7.83 eV/atom

Lattice parameters (Å, degrees): 2.6308 2.6308 8.6348 90.00 90.00 110.40
Positions (direct):
Cd 0.5000 0.5000 0.0000
Cr 0.0000 0.0000 0.2741
Cr 0.0000 0.0000 0.7259
Tc 0.5000 0.5000 0.5000

Material: TaCr2As
Method: DFT, PBEsol
State: optimized geometry

## Properties
space-group type: No. 71
energy of formation: 0.080 eV per atom
spin magnetization: 0.00 μB/f.u.
D(E_F): 4.09 states/eV per cell
final energy: -9.46 eV/atom

Lattice parameters (Å, degrees): 3.2354 4.1882 4.7983 115.88 109.70 90.00
Positions (direct):
As 0.0000 0.5000 0.0000
Cr 0.7481 0.7481 0.4961
Cr 0.2519 0.2519 0.5039
Ta 0.5000 0.0000 0.0000

Material: Al2FeW
Method: DFT, PBEsol
State: optimized geometry

## Properties
space-group type: No. 225
energy of formation: 0.133 eV per atom
spin magnetization: 2.60 μB/f.u.
D(E_F): 3.48 states/eV per cell
final energy: -7.61 eV/atom

Lattice parameters (Å, degrees): 4.2556 4.2556 4.2556 60.00 60.00 60.00
Each line ends with the local moment (μB).
Positions (direct):
Fe 0.0000 0.0000 0.0000  1.64
W 0.5000 0.5000 0.5000  0.78
Al 0.2500 0.2500 0.2500  -0.01
Al 0.7500 0.7500 0.7500  -0.01

Material: YCuOs2
Method: DFT, PBEsol
State: optimized geometry

## Properties
space-group type: No. 166
energy of formation: 0.616 eV per atom
spin magnetization: 0.00 μB/f.u.
D(E_F): 4.27 states/eV per cell
final energy: -8.28 eV/atom

Lattice parameters (Å, degrees): 2.7686 2.7686 9.4609 81.59 81.59 60.00
Positions (direct):
Cu 0.0000 0.0000 0.0000
Os 0.2595 0.2595 0.2214
Os 0.7405 0.7405 0.7786
Y 0.5000 0.5000 0.5000

Which of these has the lowest final energy?
TaCr2As

Look up the final energy of the third one.
-7.61 eV/atom